A geometry-optimized Hf3MgMo structure, computed with PBE.

Cell lengths 5.0549, 5.0549, 5.0549 Å; angles 90.00, 90.00, 90.00 degrees
With the nearest neighbours (Å) after each atom.
Space group Pm-3m (No. 221)
Unique sites:
Hf1 0.0000 0.0000 0.5000  2 Mo 2.53
Mg1 0.5000 0.5000 0.5000  12 Hf 3.57
Mo1 0.0000 0.0000 0.0000  6 Hf 2.53

Calculated values
excess energy over the best structure of this formula in the dataset	0.000	eV per atom
N(E_F)	7.75	states/eV per cell
final energy	-7.730	eV per atom

***

A geometry-optimized Nb4GaS structure, computed with PBE.

Cell lengths 6.9678, 12.7174, 5.5012 Å; angles 90.00, 117.42, 90.00 degrees
With the nearest neighbours (Å) after each atom.
Space group C2/c (No. 15)
Unique sites:
Nb1 0.1085 0.2229 0.0944  1 S 2.59, 2 Ga 2.66-2.81, 3 Nb 2.71-2.81
Nb2 0.2091 0.4308 0.2845  2 S 2.44-2.61, 2 Ga 2.68-2.72
Ga1 0.0000 0.3849 0.7500  8 Nb 2.66-2.81
S1 0.0000 0.0509 0.2500  6 Nb 2.44-2.61

Calculated values
N(E_F)	17.48	states/eV per cell
uncorrected formation energy	-0.21	eV per atom
final energy	-8.117	eV per atom

***

A geometry-optimized HfMg3Zn structure, computed with PBE.

Cell lengths 4.8523, 4.8523, 4.8523 Å; angles 90.00, 90.00, 90.00 degrees
With the nearest neighbours (Å) after each atom.
Space group Pm-3m (No. 221)
Unique sites:
Hf1 0.0000 0.0000 0.0000  12 Mg 3.43
Mg1 0.0000 0.5000 0.5000  2 Zn 2.43
Zn1 0.5000 0.5000 0.5000  6 Mg 2.43

Calculated values
excess energy over the best structure of this formula in the dataset	0.000	eV per atom
N(E_F)	5.67	states/eV per cell
final energy	-2.668	eV per atom

***

A geometry-optimized ErTmTe2 structure, computed with PBE.

Cell lengths 4.4057, 6.7818, 9.6464 Å; angles 89.93, 89.96, 89.86 degrees
With the nearest neighbours (Å) after each atom.
Space group P1 (No. 1)
Unique sites:
Er1 0.0000 0.0000 0.0000  4 Te 2.94-3.08
Er2 0.5003 0.4993 0.3612  4 Te 2.94-3.08
Tm1 0.0004 0.1621 0.5952  4 Te 2.93-3.19
Tm2 0.5018 0.6634 0.7665  4 Te 2.93-3.19
Te1 0.0013 0.2434 0.2689  3 Er 2.94-3.08, 1 Tm 3.19
Te2 0.0029 0.3843 0.8553  3 Tm 2.93-3.03, 1 Er 2.95
Te3 0.5007 0.7436 0.0922  3 Er 2.94-3.08, 1 Tm 3.19
Te4 0.5017 0.8836 0.5052  3 Tm 2.93-3.03, 1 Er 2.96

Calculated values
excess energy over the best structure of this formula in the dataset	0.351	eV per atom
N(E_F)	2.85	states/eV per cell
uncorrected formation energy	-0.88	eV per atom
final energy	-4.705	eV per atom

***

A geometry-optimized SrLiAsRu2 structure, computed with PBE.

Cell lengths 4.6318, 4.6318, 5.6092 Å; angles 90.00, 90.00, 90.00 degrees
With the nearest neighbours (Å) after each atom.
Space group P4/mmm (No. 123)
Unique sites:
Sr1 0.0000 0.0000 0.0000  2 As 2.80
Li1 0.5000 0.5000 0.0000  4 Sr 3.28, 8 Ru 3.64
As1 0.0000 0.0000 0.5000  4 Ru 2.32
Ru1 0.0000 0.5000 0.5000  2 As 2.32

Calculated values
N(E_F)	4.02	states/eV per cell
final energy	-4.908	eV per atom